Computed, not measured: a relaxed structure of BaMg2Fe at the PBE level of DFT.

abc: 5.1832 5.1832 5.1832
angles: 60.00 60.00 60.00
Last column: nearest neighbours and their distance in Å.
Atoms (fractional coordinates):
Fe 0.2500 0.2500 0.2500  4 Ba 3.17, 4 Mg 3.17
Ba 0.5000 0.5000 0.5000  4 Fe 3.17, 4 Mg 3.17
Mg 0.7500 0.7500 0.7500  4 Mg 3.17, 4 Ba 3.17
Mg 0.0000 0.0000 0.0000  4 Mg 3.17, 4 Fe 3.17

M_tot   2.68 μB per cell
Total energy   -11.2 eV/cell
Density   4.08 g cm⁻³

Computed, not measured: a relaxed structure of Sm2Gd2Mg3Fe2 at the PBE level of DFT.

abc: 7.5448 3.8256 8.2365
angles: 90.00 110.01 90.00
Last column: nearest neighbours and their distance in Å.
Atoms (fractional coordinates):
Gd 0.1081 0.5000 0.3159  4 Fe 2.92-2.96
Sm 0.5940 0.5000 0.2244  2 Fe 2.80
Mg 0.5000 0.0000 0.5000  2 Fe 3.10, 4 Sm 3.23, 4 Gd 3.41
Mg 0.2056 0.0000 0.9967  1 Mg 3.12, 1 Fe 3.14, 4 Sm 3.34-3.46, 2 Gd 3.42
Gd 0.8919 0.5000 0.6841  4 Fe 2.92-2.96
Fe 0.8615 0.0000 0.4016  1 Fe 2.16
Mg 0.7944 0.0000 0.0033  1 Mg 3.12, 1 Fe 3.14, 4 Sm 3.34-3.46, 2 Gd 3.42
Fe 0.1385 0.0000 0.5984  1 Fe 2.16
Sm 0.4060 0.5000 0.7756  2 Fe 2.80

M_tot   2.50 μB per cell
Total energy   -40.3 eV/cell
Density   5.95 g cm⁻³

Computed, not measured: a relaxed structure of NaTaAu at the PBE level of DFT.

abc: 4.5090 4.5090 4.5090
angles: 60.00 60.00 60.00
Last column: nearest neighbours and their distance in Å.
Atoms (fractional coordinates):
Na 0.2500 0.2500 0.2500  4 Au 2.76
Ta 0.7500 0.7500 0.7500  4 Au 2.76
Au 0.0000 0.0000 0.0000  4 Ta 2.76, 4 Na 2.76

M_tot   0.00 μB per cell
Total energy   -14.1 eV/cell
Density   10.27 g cm⁻³

Computed, not measured: a relaxed structure of PuScB at the PBE level of DFT.

abc: 4.3043 4.3043 4.3043
angles: 60.00 60.00 60.00
Last column: nearest neighbours and their distance in Å.
Atoms (fractional coordinates):
Sc 0.7500 0.7500 0.7500  4 B 2.64
Pu 0.2500 0.2500 0.2500  4 B 2.64
B 0.0000 0.0000 0.0000  4 Sc 2.64, 4 Pu 2.64

M_tot   5.96 μB per cell
Total energy   -27.0 eV/cell
Density   8.83 g cm⁻³

Computed, not measured: a relaxed structure of NdTlCd at the PBE level of DFT.

abc: 5.3524 5.3524 6.5417
angles: 90.00 90.00 120.00
Last column: nearest neighbours and their distance in Å.
Atoms (fractional coordinates):
Nd 0.6667 0.3333 0.2500  5 Tl 3.09-3.27
Cd 0.0000 0.0000 0.0000  2 Cd 3.27, 6 Tl 3.50, 6 Nd 3.50
Cd 0.0000 0.0000 0.5000  2 Cd 3.27, 6 Nd 3.50, 6 Tl 3.50
Tl 0.6667 0.3333 0.7500  5 Nd 3.09-3.27
Tl 0.3333 0.6667 0.2500  5 Nd 3.09-3.27
Nd 0.3333 0.6667 0.7500  5 Tl 3.09-3.27

M_tot   0.00 μB per cell
Total energy   -18.0 eV/cell
Density   9.43 g cm⁻³

Computed, not measured: a relaxed structure of DyC2 at the PBE level of DFT.

abc: 3.6650 3.6650 4.0387
angles: 116.98 116.98 90.00
Last column: nearest neighbours and their distance in Å.
Atoms (fractional coordinates):
Dy 0.0000 0.0000 0.0000  10 C 2.45-2.67
C 0.3948 0.3948 0.7897  1 C 1.30
C 0.6052 0.6052 0.2103  1 C 1.30

M_tot   0.00 μB per cell
Total energy   -23.6 eV/cell
Density   7.44 g cm⁻³

Computed, not measured: a relaxed structure of SrPrSb at the PBE level of DFT.

abc: 5.4559 5.4559 5.4559
angles: 60.00 60.00 60.00
Last column: nearest neighbours and their distance in Å.
Atoms (fractional coordinates):
Sb 0.2500 0.2500 0.2500  4 Pr 3.34
Sr 0.7500 0.7500 0.7500  4 Pr 3.34
Pr 0.0000 0.0000 0.0000  4 Sr 3.34, 4 Sb 3.34

M_tot   0.23 μB per cell
Total energy   -10.8 eV/cell
Density   5.07 g cm⁻³

Computed, not measured: a relaxed structure of LuCoNiGe at the PBE level of DFT.

abc: 4.4414 4.4414 4.4414
angles: 60.00 60.00 60.00
Last column: nearest neighbours and their distance in Å.
Atoms (fractional coordinates):
Lu 0.2500 0.2500 0.2500  4 Co 2.72, 4 Ge 2.72
Ni 0.7500 0.7500 0.7500  4 Co 2.72, 4 Ge 2.72
Co 0.5000 0.5000 0.5000  4 Lu 2.72, 4 Ni 2.72
Ge 0.0000 0.0000 0.0000  4 Lu 2.72, 4 Ni 2.72

M_tot   1.62 μB per cell
Total energy   -22.2 eV/cell
Density   9.79 g cm⁻³

Computed, not measured: a relaxed structure of NbTcB4 at the PBE level of DFT.

abc: 3.0619 3.0619 6.6578
angles: 90.00 90.00 120.00
Last column: nearest neighbours and their distance in Å.
Atoms (fractional coordinates):
Nb 0.0000 0.0000 0.5000  12 B 2.44
B 0.6667 0.3333 0.7528  3 B 1.77
B 0.6667 0.3333 0.2472  3 B 1.77
B 0.3333 0.6667 0.2472  3 B 1.77
B 0.3333 0.6667 0.7528  3 B 1.77
Tc 0.0000 0.0000 0.0000  12 B 2.42

M_tot   0.01 μB per cell
Total energy   -49.3 eV/cell
Density   7.19 g cm⁻³

Computed, not measured: a relaxed structure of SrNbGa at the PBE level of DFT.

abc: 4.8937 4.8937 4.8937
angles: 60.00 60.00 60.00
Last column: nearest neighbours and their distance in Å.
Atoms (fractional coordinates):
Sr 0.7500 0.7500 0.7500  4 Ga 3.00
Ga 0.0000 0.0000 0.0000  4 Sr 3.00, 4 Nb 3.00
Nb 0.2500 0.2500 0.2500  4 Ga 3.00

M_tot   2.07 μB per cell
Total energy   -12.8 eV/cell
Density   5.01 g cm⁻³

Computed, not measured: a relaxed structure of CoN at the PBE level of DFT.

abc: 2.7994 2.7994 4.6645
angles: 90.00 90.00 120.00
Last column: nearest neighbours and their distance in Å.
Atoms (fractional coordinates):
N 0.6667 0.3333 0.7500  6 Co 1.99
Co 0.0000 0.0000 0.0000  6 N 1.99
Co 0.0000 0.0000 0.5000  6 N 1.99
N 0.3333 0.6667 0.2500  6 Co 1.99

M_tot   0.03 μB per cell
Total energy   -29.5 eV/cell
Density   7.65 g cm⁻³

Computed, not measured: a relaxed structure of HoAgPd at the PBE level of DFT.

abc: 4.6671 4.6671 4.6671
angles: 60.00 60.00 60.00
Last column: nearest neighbours and their distance in Å.
Atoms (fractional coordinates):
Ho 0.0000 0.0000 0.0000  4 Pd 2.86, 4 Ag 2.86
Ag 0.2500 0.2500 0.2500  4 Ho 2.86
Pd 0.7500 0.7500 0.7500  4 Ho 2.86

M_tot   0.00 μB per cell
Total energy   -13.0 eV/cell
E_form   -0.139 eV/atom
Density   8.76 g cm⁻³